Entry 1:
A geometry-optimized Al2ZnAg3 structure, computed with GGA-PBE.

POSCAR file:
```
Al2ZnAg3
1.0
4.7589 0.0000 0.0000
0.0000 4.7741 0.0000
0.0000 0.0000 8.8081
Ag Al Zn
6 4 2
Direct
0.0000 0.3952 0.8313
0.5000 0.6048 0.3313
0.0000 0.4057 0.5000
0.5000 0.5943 0.0000
0.0000 0.3952 0.1687
0.5000 0.6048 0.6687
0.5000 0.0893 0.8352
0.0000 0.9107 0.3352
0.5000 0.0893 0.1648
0.0000 0.9107 0.6648
0.5000 0.0954 0.5000
0.0000 0.9046 0.0000
```

Output
SG: Pmmn
Density of states at the Fermi level, states/eV/atom: 0.350
Distance to the lowest polymorph of the same formula, meV/atom: 0
VASP energy, eV per atom: -2.935
M_tot, μB/atom: 0.000


Entry 2:
A geometry-optimized KTbO2 structure, computed with GGA-PBE.

POSCAR file:
```
KTbO2
1.0
3.4881 0.0000 0.0000
1.7441 3.0208 0.0000
1.7441 1.0069 6.3995
Tb K O
1 1 2
Direct
0.6671 0.6671 0.9988
0.4966 0.4966 0.5102
0.2733 0.2733 0.1800
0.0630 0.0630 0.8111
```

Output
SG: R3m
Raw formation energy, eV per atom: -2.7088
Density of states at the Fermi level, states/eV/atom: 0.000
VASP energy, eV per atom: -6.620
M_tot, μB/atom: 0.000


Entry 3:
A geometry-optimized Pm2PrGaN structure, computed with GGA-PBE.

POSCAR file:
```
Pm2PrGaN
1.0
-0.3393 -4.9633 -0.6742
1.7479 -0.7378 4.5514
-4.5988 0.0729 1.7779
Ga Pr Pm N
1 1 2 1
Direct
0.5000 0.5000 0.5000
0.5000 0.0000 0.0000
0.0000 0.0000 0.5000
0.0000 0.5000 0.0000
0.0000 0.0000 0.0000
```

Output
SG: P4/mmm
Raw formation energy, eV per atom: -0.8218
Density of states at the Fermi level, states/eV/atom: 0.543
VASP energy, eV per atom: -5.948
M_tot, μB/atom: 0.000


Entry 4:
A geometry-optimized BePdI structure, computed with GGA-PBE.

POSCAR file:
```
BePdI
1.0
-1.3120 -0.6673 4.3166
-1.0920 -3.4786 -0.8696
16.4044 -5.2434 0.3755
Pd I Be
4 4 4
Direct
0.9800 0.5000 0.5960
0.5214 0.5000 0.6941
0.9800 0.0000 0.0960
0.5214 0.0000 0.1941
0.9353 0.0000 0.7747
0.6004 0.0000 0.4860
0.9353 0.5000 0.2747
0.6004 0.5000 0.9860
0.4282 0.0000 0.0631
0.4282 0.5000 0.5631
0.2252 0.5000 0.1625
0.2252 0.0000 0.6625
```

Output
SG: Cm
Raw formation energy, eV per atom: -0.2073
Distance to the lowest polymorph of the same formula, meV/atom: 106
VASP energy, eV per atom: -3.697
M_tot, μB/atom: 0.000


Entry 5:
A geometry-optimized CdB2P structure, computed with GGA-PBE.

POSCAR file:
```
CdB2P
1.0
-0.8755 -1.8831 3.6267
-3.7077 -1.8470 0.5537
-0.2518 -4.1676 0.1831
Cd P B
1 1 2
Direct
0.5000 0.5000 0.5000
0.0000 0.0000 0.0000
0.7500 0.7500 0.7500
0.2500 0.2500 0.2500
```

Output
SG: Fm-3m
Density of states at the Fermi level, states/eV/atom: 0.405
Distance to the lowest polymorph of the same formula, meV/atom: 1055
VASP energy, eV per atom: -3.276
M_tot, μB/atom: 0.000


Entry 6:
A geometry-optimized Rb3Sm2HoO6 structure, computed with GGA-PBE.

POSCAR file:
```
Rb3Sm2HoO6
1.0
-4.5927 4.0684 -0.8156
-0.7768 -5.9157 -1.6465
-0.4966 -0.7589 6.8384
O Rb Ho Sm
6 3 1 2
Direct
0.2664 0.2664 0.8226
0.0591 0.3846 0.1773
0.7336 0.7336 0.1774
0.3846 0.0591 0.1773
0.6154 0.9409 0.8227
0.9409 0.6154 0.8227
0.8341 0.1659 0.5000
0.5000 0.5000 0.5000
0.1659 0.8341 0.5000
0.0000 0.0000 0.0000
0.3333 0.6667 0.0000
0.6667 0.3333 0.0000
```

Output
SG: C2/m
Raw formation energy, eV per atom: -2.6385
Density of states at the Fermi level, states/eV/atom: 0.000
VASP energy, eV per atom: -6.527
M_tot, μB/atom: 0.000


Entry 7:
A geometry-optimized Cs3Ru2O8 structure, computed with GGA-PBE.

POSCAR file:
```
Cs3Ru2O8
1.0
-0.6338 2.4404 5.9994
-5.2917 -1.3747 3.5297
1.6830 -6.0470 6.1671
O Ru Cs
8 2 3
Direct
0.2837 0.7295 0.7030
0.2837 0.2837 0.7030
0.6670 0.6670 0.9990
0.7295 0.2837 0.7030
0.7163 0.7163 0.2970
0.7163 0.2705 0.2970
0.3330 0.3330 0.0010
0.2705 0.7163 0.2970
0.4071 0.4071 0.7787
0.5929 0.5929 0.2213
0.0000 0.0000 0.0000
0.2041 0.2041 0.3877
0.7959 0.7959 0.6123
```

Output
SG: R-3m
Raw formation energy, eV per atom: -1.2665
Density of states at the Fermi level, states/eV/atom: 0.950
VASP energy, eV per atom: -5.942
M_tot, μB/atom: 0.231


Entry 8:
A geometry-optimized TmTi2Al8 structure, computed with GGA-PBE.

POSCAR file:
```
TmTi2Al8
1.0
-4.2225 -2.2359 -1.4043
5.6121 -5.6063 0.8769
-1.8017 5.4840 5.5113
Al Ti Tm
8 2 1
Direct
0.2380 0.3719 0.1029
0.5000 0.2064 0.7936
0.7620 0.8971 0.6281
0.2433 0.4998 0.4998
0.7567 0.5002 0.5002
0.5000 0.7936 0.2064
0.2380 0.1029 0.3719
0.7620 0.6281 0.8971
0.0000 0.3206 0.6794
0.0000 0.6794 0.3206
0.5000 0.0000 0.0000
```

Output
SG: Immm
Density of states at the Fermi level, states/eV/atom: 0.732
VASP energy, eV per atom: -4.776
M_tot, μB/atom: 0.000


Entry 9:
A geometry-optimized BeZnInNiPd structure, computed with GGA-PBE.

POSCAR file:
```
BeZnInNiPd
1.0
3.4422 -0.0094 -0.0176
-1.7166 4.7880 0.0291
-1.7178 -1.9567 4.4702
Ni Zn Be In Pd
1 1 1 1 1
Direct
0.0217 0.6665 0.4631
0.2932 0.6406 0.0289
0.7579 0.8626 0.7373
0.2887 0.2173 0.4421
0.5358 0.1757 0.9775
```

Output
SG: P1
Density of states at the Fermi level, states/eV/atom: 0.246
Distance to the lowest polymorph of the same formula, meV/atom: 22
VASP energy, eV per atom: -3.975
M_tot, μB/atom: 0.000


Entry 10:
A geometry-optimized SrSmSe2 structure, computed with GGA-PBE.

POSCAR file:
```
SrSmSe2
1.0
-3.2287 -2.7480 0.3357
-0.1942 -2.6583 3.3143
-4.8871 3.0478 4.8871
Se Sm Sr
2 1 1
Direct
0.7459 0.7459 0.7624
0.2541 0.2541 0.2376
0.0000 0.0000 0.0000
0.5000 0.5000 0.5000
```

Output
SG: R-3m
Raw formation energy, eV per atom: -1.9110
Density of states at the Fermi level, states/eV/atom: 0.402
Distance to the lowest polymorph of the same formula, meV/atom: 0
VASP energy, eV per atom: -5.254
M_tot, μB/atom: 0.000


Entry 11:
A geometry-optimized RbPrSiSe4 structure, computed with GGA-PBE.

POSCAR file:
```
RbPrSiSe4
1.0
6.8468 0.0000 -0.0911
0.0000 7.0214 0.0000
-2.8040 0.0000 9.1180
Se Si Pr Rb
8 2 2 2
Direct
0.0071 0.5046 0.7147
0.5905 0.2500 0.8287
0.0071 0.9954 0.7147
0.4095 0.7500 0.1713
0.4060 0.7500 0.5675
0.5940 0.2500 0.4325
0.9929 0.4954 0.2853
0.9929 0.0046 0.2853
0.7862 0.2500 0.6753
0.2138 0.7500 0.3247
0.2303 0.2500 0.5500
0.7697 0.7500 0.4500
0.2650 0.2500 0.0645
0.7350 0.7500 0.9355
```

Output
SG: P2_1/m
Raw formation energy, eV per atom: -1.2551
Density of states at the Fermi level, states/eV/atom: 0.000
VASP energy, eV per atom: -4.842
M_tot, μB/atom: 0.000


Entry 12:
A geometry-optimized TcNiSb4 structure, computed with GGA-PBE.

POSCAR file:
```
TcNiSb4
1.0
0.0000 4.2546 4.2546
4.2546 0.0000 4.2546
4.2546 4.2546 0.0000
Sb Ni Tc
4 1 1
Direct
0.8760 0.3747 0.3747
0.3747 0.3747 0.8760
0.3747 0.3747 0.3747
0.3747 0.8760 0.3747
0.0000 0.0000 0.0000
0.7500 0.7500 0.7500
```

Output
SG: F-43m
Raw formation energy, eV per atom: 1.1896
Density of states at the Fermi level, states/eV/atom: 1.209
Distance to the lowest polymorph of the same formula, meV/atom: 1287
VASP energy, eV per atom: -4.250
M_tot, μB/atom: 0.489


Entry 13:
A geometry-optimized VCu2Re4 structure, computed with GGA-PBE.

POSCAR file:
```
VCu2Re4
1.0
4.4615 0.0000 0.0000
0.0000 4.4615 0.0000
2.2308 2.2308 6.0660
Re V Cu
4 1 2
Direct
0.0000 0.5000 0.0000
0.1880 0.1880 0.6239
0.8120 0.8120 0.3761
0.5000 0.0000 0.0000
0.0000 0.0000 0.0000
0.3876 0.3876 0.2248
0.6124 0.6124 0.7752
```

Output
SG: I4/mmm
Density of states at the Fermi level, states/eV/atom: 1.072
VASP energy, eV per atom: -7.843
M_tot, μB/atom: 0.000


Entry 14:
A geometry-optimized NpSeN structure, computed with GGA-PBE.

POSCAR file:
```
NpSeN
1.0
4.3252 0.0000 0.0000
2.1626 3.7457 0.0000
2.1626 1.2486 3.5315
Np Se N
1 1 1
Direct
0.2500 0.2500 0.2500
0.0000 0.0000 0.0000
0.5000 0.5000 0.5000
```

Output
SG: F-43m
Raw formation energy, eV per atom: -0.1476
Density of states at the Fermi level, states/eV/atom: 2.652
Distance to the lowest polymorph of the same formula, meV/atom: 1017
VASP energy, eV per atom: -8.398
M_tot, μB/atom: 0.666


Entry 15:
A geometry-optimized TcHgGeOsW structure, computed with GGA-PBE.

POSCAR file:
```
TcHgGeOsW
1.0
2.9174 -0.0004 0.0007
-1.4581 2.5237 -0.0038
-0.0038 -1.6802 11.5080
Hg Tc Ge Os W
1 1 1 1 1
Direct
0.6214 0.9349 0.9021
0.8177 0.3275 0.4888
0.5425 0.7772 0.6616
0.3608 0.4135 0.1205
0.0882 0.8687 0.3001
```

Output
SG: Cm
Density of states at the Fermi level, states/eV/atom: 0.671
Distance to the lowest polymorph of the same formula, meV/atom: 59
VASP energy, eV per atom: -7.632
M_tot, μB/atom: 0.000


Entry 16:
A geometry-optimized SrAcIr2O8 structure, computed with GGA-PBE.

POSCAR file:
```
SrAcIr2O8
1.0
6.0120 0.0000 0.0000
-3.0060 5.2066 0.0000
0.0000 0.0000 7.5971
O Sr Ir Ac
8 1 2 1
Direct
0.6667 0.3333 0.9445
0.3298 0.1647 0.2672
0.1647 0.8348 0.7328
0.1652 0.3298 0.7328
0.3333 0.6667 0.0555
0.6702 0.8353 0.7328
0.8348 0.6702 0.2672
0.8353 0.1652 0.2672
0.0000 0.0000 0.0000
0.3333 0.6667 0.8185
0.6667 0.3333 0.1815
0.0000 0.0000 0.5000
```

Output
SG: P-3m1
Raw formation energy, eV per atom: -1.3389
Density of states at the Fermi level, states/eV/atom: 0.981
VASP energy, eV per atom: -6.604
M_tot, μB/atom: 0.084


Entry 17:
A geometry-optimized LiInSn3 structure, computed with GGA-PBE.

POSCAR file:
```
LiInSn3
1.0
-0.4008 5.5529 4.5901
3.8407 -4.2810 4.3572
3.3471 -0.1877 -6.4855
Sn In Li
6 2 2
Direct
0.2108 0.0504 0.8012
0.2492 0.4097 0.1988
0.7892 0.9496 0.1988
0.7508 0.5903 0.8012
0.2035 0.6306 0.8341
0.7965 0.3694 0.1659
0.2722 0.9802 0.2524
0.7278 0.0198 0.7476
0.2996 0.3113 0.6109
0.7004 0.6887 0.3891
```

Output
SG: C2/m
Density of states at the Fermi level, states/eV/atom: 0.367
Distance to the lowest polymorph of the same formula, meV/atom: 0
VASP energy, eV per atom: -3.366
M_tot, μB/atom: 0.000


Entry 18:
A geometry-optimized AcCuNiBi structure, computed with GGA-PBE.

POSCAR file:
```
AcCuNiBi
1.0
5.0233 0.0000 0.0000
2.5116 4.3503 0.0000
2.5116 1.4501 4.1015
Cu Bi Ac Ni
1 1 1 1
Direct
0.2500 0.2500 0.2500
0.5000 0.5000 0.5000
0.0000 0.0000 0.0000
0.7500 0.7500 0.7500
```

Output
SG: F-43m
Density of states at the Fermi level, states/eV/atom: 0.565
VASP energy, eV per atom: -4.621
M_tot, μB/atom: 0.000


Entry 19:
A geometry-optimized KPt structure, computed with GGA-PBE.

POSCAR file:
```
KPt
1.0
-1.7440 -2.3694 -3.5648
-1.1982 -4.4319 0.5354
-4.4621 -1.2054 -0.0123
K Pt
1 1
Direct
0.0000 0.0000 0.0000
0.5000 0.5000 0.5000
```

Output
SG: Fm-3m
Density of states at the Fermi level, states/eV/atom: 3.203
VASP energy, eV per atom: -2.603
M_tot, μB/atom: 0.514


Entry 20:
A geometry-optimized LaBS2Cl structure, computed with GGA-PBE.

POSCAR file:
```
LaBS2Cl
1.0
5.5186 0.0000 0.0000
0.0000 5.5186 0.0000
0.0000 0.0000 5.5290
La S B Cl
1 2 1 1
Direct
0.0000 0.0000 0.0000
0.0000 0.5000 0.0000
0.5000 0.0000 0.0000
0.5000 0.5000 0.5000
0.0000 0.0000 0.5000
```

Output
SG: P4/mmm
Raw formation energy, eV per atom: 0.1859
Density of states at the Fermi level, states/eV/atom: 1.200
Distance to the lowest polymorph of the same formula, meV/atom: 908
VASP energy, eV per atom: -4.155
M_tot, μB/atom: 0.076


Entry 21:
A geometry-optimized Cs2MgSiCl6 structure, computed with GGA-PBE.

POSCAR file:
```
Cs2MgSiCl6
1.0
-7.3019 0.4582 -0.8050
-0.8105 -6.2570 3.7906
-4.3732 -0.1776 5.9179
Cs Cl Mg Si
2 6 1 1
Direct
0.2500 0.7500 0.5000
0.7500 0.2500 0.5000
0.7464 0.7464 0.5072
0.2537 0.7463 0.0000
0.2536 0.2536 0.4928
0.7463 0.7463 0.0000
0.2537 0.2537 0.0000
0.7463 0.2537 0.0000
0.5000 0.5000 0.0000
0.0000 0.0000 0.0000
```

Output
SG: Fm-3m
Raw formation energy, eV per atom: -1.5245
Density of states at the Fermi level, states/eV/atom: 0.000
VASP energy, eV per atom: -3.505
M_tot, μB/atom: 0.000


Entry 22:
A geometry-optimized Sc2Al2Mo structure, computed with GGA-PBE.

POSCAR file:
```
Sc2Al2Mo
1.0
-6.5197 -0.2526 2.4128
0.0205 -6.9241 -0.6695
1.3784 -0.3525 3.6878
Sc Al Mo
4 4 2
Direct
0.6766 0.8234 0.5000
0.3234 0.1766 0.5000
0.8234 0.3234 0.5000
0.1766 0.6766 0.5000
0.1323 0.3677 0.0000
0.8677 0.6323 0.0000
0.6323 0.1323 0.0000
0.3677 0.8677 0.0000
0.5000 0.5000 0.0000
0.0000 0.0000 0.0000
```

Output
SG: P4/mbm
Density of states at the Fermi level, states/eV/atom: 1.523
Distance to the lowest polymorph of the same formula, meV/atom: 0
VASP energy, eV per atom: -6.305
M_tot, μB/atom: 0.000


Entry 23:
A geometry-optimized Pu3IrPt2 structure, computed with GGA-PBE.

POSCAR file:
```
Pu3IrPt2
1.0
3.4552 0.0000 0.0000
0.0000 3.4552 0.0000
0.0000 0.0000 10.6075
Pt Pu Ir
2 3 1
Direct
0.5000 0.5000 0.1693
0.5000 0.5000 0.8307
0.0000 0.0000 0.3409
0.0000 0.0000 0.0000
0.0000 0.0000 0.6591
0.5000 0.5000 0.5000
```

Output
SG: P4/mmm
Density of states at the Fermi level, states/eV/atom: 4.156
VASP energy, eV per atom: -11.296
M_tot, μB/atom: 2.634


Entry 24:
A geometry-optimized Rb2Cu2AgBr7 structure, computed with GGA-PBE.

POSCAR file:
```
Rb2Cu2AgBr7
1.0
5.2343 -0.0561 0.1247
-0.0497 5.2344 0.1247
2.8510 2.8475 13.2607
Br Rb Cu Ag
7 2 2 1
Direct
0.6845 0.6845 0.6211
0.4798 0.9413 0.1655
0.9413 0.4798 0.1655
0.3155 0.3155 0.3789
0.5202 0.0587 0.8345
0.5000 0.5000 0.0000
0.0587 0.5202 0.8345
0.1552 0.1552 0.6483
0.8448 0.8448 0.3517
0.4237 0.4237 0.1883
0.5763 0.5763 0.8117
0.0000 0.0000 0.0000
```

Output
SG: C2/m
Raw formation energy, eV per atom: -0.6855
Density of states at the Fermi level, states/eV/atom: 0.207
VASP energy, eV per atom: -2.743
M_tot, μB/atom: 0.000


Entry 25:
A geometry-optimized Ac2DyHg structure, computed with GGA-PBE.

POSCAR file:
```
Ac2DyHg
1.0
-2.1681 0.9874 3.1175
-3.8764 -0.6057 -0.0350
-0.4640 -10.0460 5.3282
Ac Dy Hg
2 1 1
Direct
0.2557 0.2557 0.2330
0.0779 0.0779 0.7664
0.4994 0.4994 0.5018
0.6671 0.6671 0.9988
```

Output
SG: R3m
Density of states at the Fermi level, states/eV/atom: 1.288
Distance to the lowest polymorph of the same formula, meV/atom: 88
VASP energy, eV per atom: -3.385
M_tot, μB/atom: 0.000